(1)
First-principles (PBE) data for crystalline SrMgPd3 at its relaxed geometry, as listed in Alexandria via LeMat-Bulk.

abc: 6.3737 6.3737 5.9683
angles: 90.00 90.00 120.00
Last column: nearest neighbours and their distance in Å.
Fractional positions:
Sr: 0.3333 0.6667 0.2500  12 Pd 3.20-3.37
Sr: 0.6667 0.3333 0.7500  12 Pd 3.20-3.37
Mg: 0.0000 0.0000 0.0000  6 Pd 2.58
Mg: 0.0000 0.0000 0.5000  6 Pd 2.58
Pd: 0.1908 0.3816 0.7500  2 Mg 2.58, 2 Pd 2.73
Pd: 0.1908 0.8092 0.7500  2 Mg 2.58, 2 Pd 2.73
Pd: 0.3816 0.1908 0.2500  2 Mg 2.58, 2 Pd 2.73
Pd: 0.6184 0.8092 0.7500  2 Mg 2.58, 2 Pd 2.73
Pd: 0.8092 0.1908 0.2500  2 Mg 2.58, 2 Pd 2.73
Pd: 0.8092 0.6184 0.2500  2 Mg 2.58, 2 Pd 2.73

Results
The density of states at the Fermi level comes out at 1.57 states/eV/cell. The space group is P6_3/mmc, No. 194. The formation energy is -0.47 eV per atom. The value obtained for the total magnetic moment is 0.0 μB per formula unit. The value obtained for the energy relative to the lowest polymorph listed for this composition is 0.0 kJ/mol of formula units.



(2)
First-principles (PBE) data for crystalline SrMg9Pd2 at its relaxed geometry, as listed in Alexandria via LeMat-Bulk.

abc: 9.2118 9.2118 9.2118
angles: 100.21 100.21 130.19
Last column: nearest neighbours and their distance in Å.
Fractional positions:
Sr: 0.3750 0.6250 0.7500  18 Mg 3.71-3.88, 4 Pd 4.15
Sr: 0.6250 0.3750 0.2500  18 Mg 3.71-3.88, 4 Pd 4.15
Mg: 0.1250 0.8750 0.2500  8 Mg 3.10, 4 Pd 3.11
Mg: 0.1422 0.5705 0.3254  2 Pd 2.82-2.85, 6 Mg 2.91-3.12
Mg: 0.1422 0.8168 0.5717  2 Pd 2.82-2.85, 6 Mg 2.91-3.12
Mg: 0.1832 0.2549 0.3254  2 Pd 2.82-2.85, 6 Mg 2.91-3.12
Mg: 0.1832 0.8578 0.9283  2 Pd 2.82-2.85, 6 Mg 2.91-3.12
Mg: 0.2549 0.1832 0.8254  2 Pd 2.82-2.85, 6 Mg 2.91-3.12
Mg: 0.2549 0.4295 0.0717  2 Pd 2.82-2.85, 6 Mg 2.91-3.12
Mg: 0.4295 0.2549 0.5717  2 Pd 2.82-2.85, 6 Mg 2.91-3.12
Mg: 0.4295 0.8578 0.1746  2 Pd 2.82-2.85, 6 Mg 2.91-3.12
Mg: 0.5705 0.1422 0.8254  2 Pd 2.82-2.85, 6 Mg 2.91-3.12
Mg: 0.5705 0.7451 0.4283  2 Pd 2.82-2.85, 6 Mg 2.91-3.12
Mg: 0.7451 0.5705 0.9283  2 Pd 2.82-2.85, 6 Mg 2.91-3.12
Mg: 0.7451 0.8168 0.1746  2 Pd 2.82-2.85, 6 Mg 2.91-3.12
Mg: 0.8168 0.1422 0.0717  2 Pd 2.82-2.85, 6 Mg 2.91-3.12
Mg: 0.8168 0.7451 0.6746  2 Pd 2.82-2.85, 6 Mg 2.91-3.12
Mg: 0.8578 0.1832 0.4283  2 Pd 2.82-2.85, 6 Mg 2.91-3.12
Mg: 0.8578 0.4295 0.6746  2 Pd 2.82-2.85, 6 Mg 2.91-3.12
Mg: 0.8750 0.1250 0.7500  8 Mg 3.10, 4 Pd 3.11
Pd: 0.0000 0.0000 0.0000  10 Mg 2.82-3.11
Pd: 0.0000 0.0000 0.5000  10 Mg 2.82-3.11
Pd: 0.0000 0.5000 0.0000  10 Mg 2.82-3.11
Pd: 0.5000 0.0000 0.5000  10 Mg 2.82-3.11

Results
The density of states at the Fermi level comes out at 13.71 states/eV/cell. The space group is I4_1/amd, No. 141. The formation energy is -0.30 eV per atom. The value obtained for the total magnetic moment is 0.0 μB per formula unit.



(3)
First-principles (PBE) data for crystalline Sr2Mg12Pd7 at its relaxed geometry, as listed in Alexandria via LeMat-Bulk.

abc: 11.0876 11.0876 4.1095
angles: 90.00 90.00 120.00
Last column: nearest neighbours and their distance in Å.
Fractional positions:
Sr: 0.0000 0.0000 0.0000  6 Pd 3.32, 6 Mg 3.60
Sr: 0.3333 0.6667 0.5000  6 Pd 3.38, 9 Mg 3.53-3.77
Mg: 0.0529 0.7639 0.5000  4 Pd 2.70-2.83
Mg: 0.1008 0.3875 0.0000  4 Pd 2.71-2.86
Mg: 0.2361 0.2890 0.5000  4 Pd 2.70-2.83
Mg: 0.2867 0.8992 0.0000  4 Pd 2.71-2.86
Mg: 0.3918 0.2139 0.0000  4 Pd 2.65-2.70
Mg: 0.5395 0.1133 0.5000  5 Pd 2.86-2.95, 4 Mg 3.16-3.20
Mg: 0.5737 0.4605 0.5000  5 Pd 2.86-2.95, 4 Mg 3.16-3.20
Mg: 0.6125 0.7133 0.0000  4 Pd 2.71-2.86
Mg: 0.7110 0.9471 0.5000  4 Pd 2.70-2.83
Mg: 0.7861 0.1778 0.0000  4 Pd 2.65-2.70
Mg: 0.8222 0.6082 0.0000  4 Pd 2.65-2.70
Mg: 0.8867 0.4263 0.5000  5 Pd 2.86-2.95, 4 Mg 3.16-3.20
Pd: 0.0692 0.6147 0.0000  7 Mg 2.70-2.91
Pd: 0.2539 0.0434 0.5000  7 Mg 2.69-2.86
Pd: 0.3853 0.4545 0.0000  7 Mg 2.70-2.91
Pd: 0.5455 0.9308 0.0000  7 Mg 2.70-2.91
Pd: 0.6667 0.3333 0.0000  9 Mg 2.65-2.95
Pd: 0.7895 0.7461 0.5000  7 Mg 2.69-2.86
Pd: 0.9566 0.2105 0.5000  7 Mg 2.69-2.86

Results
The density of states at the Fermi level comes out at 7.58 states/eV/cell. The space group is P-6, No. 174. The formation energy is -0.53 eV per atom. The value obtained for the total magnetic moment is 0.0 μB per formula unit.



(4)
First-principles (PBE) data for crystalline SrMgPd4 at its relaxed geometry, as listed in Alexandria via LeMat-Bulk.

abc: 5.4595 5.4595 5.4595
angles: 60.00 60.00 60.00
Last column: nearest neighbours and their distance in Å.
Fractional positions:
Sr: 0.0000 0.0000 0.0000  12 Pd 3.20, 4 Mg 3.34
Mg: 0.7500 0.7500 0.7500  12 Pd 3.20, 4 Sr 3.34
Pd: 0.3756 0.3756 0.3756  6 Pd 2.72-2.74
Pd: 0.3756 0.3756 0.8733  6 Pd 2.72-2.74
Pd: 0.3756 0.8733 0.3756  6 Pd 2.72-2.74
Pd: 0.8733 0.3756 0.3756  6 Pd 2.72-2.74

Results
The density of states at the Fermi level comes out at 4.61 states/eV/cell. The space group is F-43m, No. 216. The formation energy is -0.50 eV per atom. The value obtained for the total magnetic moment is 0.0 μB per formula unit.